## CsFeI4 (PBE)

Data for a relaxed CsFeI4 crystal.

Summary:
The raw total energy comes out at -3.24 eV/atom. For the excess energy over the best structure of this formula in the dataset, the calculation gives 0.0 meV/atom.

a b c (Å): 7.4315 18.7303 8.4537
angles (deg): 90.00 107.54 90.00
Fractional positions:
Cs1 0.1808 0.1321 0.2970
Cs2 0.1808 0.3679 0.7970
Cs3 0.8192 0.6321 0.2030
Cs4 0.8192 0.8679 0.7030
Fe1 0.1873 0.6275 0.7954
Fe2 0.1873 0.8725 0.2954
Fe3 0.8127 0.1275 0.7046
Fe4 0.8127 0.3725 0.2046
I1 0.1691 0.1529 0.7965
I2 0.1691 0.3471 0.2965
I3 0.2716 0.5543 0.5737
I4 0.2716 0.9457 0.0737
I5 0.2731 0.5550 0.0658
I6 0.2731 0.9450 0.5658
I7 0.3643 0.7455 0.8467
I8 0.3643 0.7545 0.3467
I9 0.6357 0.2455 0.6533
I10 0.6357 0.2545 0.1533
I11 0.7269 0.0550 0.4342
I12 0.7269 0.4450 0.9342
I13 0.7284 0.0543 0.9263
I14 0.7284 0.4457 0.4263
I15 0.8309 0.6529 0.7035
I16 0.8309 0.8471 0.2035